(1)
! Be8Cu3Rh GGA-PBE optimized geometry; values from VASP
! Final energy   -4.36 eV/atom
! Size of the total moment   0.000 μB per atom
! Energy of formation from the pure elements   -23.2 kJ per mole of atoms
&SYSTEM
  ibrav = 0, nat = 12, ntyp = 3
/
ATOMIC_SPECIES
Be 9.01 Be.upf
Cu 63.55 Cu.upf
Rh 102.91 Rh.upf
ATOMIC_POSITIONS angstrom
Be -3.127 -1.833 0.866
Be -0.934 -2.244 5.040
Be -1.915 -3.650 3.785
Be -1.936 -3.399 1.689
Be -1.957 -3.142 -0.429
Be -0.949 -1.699 0.861
Be -3.054 -2.374 5.046
Be -2.087 -1.047 -0.827
Cu 0.287 -4.474 4.784
Cu -2.177 0.514 1.126
Cu -2.064 -1.255 3.018
Rh 0.170 -2.649 2.833
CELL_PARAMETERS angstrom
-2.300 2.575 2.545
-1.981 -2.837 -2.534
0.302 -4.716 5.043

=====

(2)
! ZnCr2 GGA-PBE optimized geometry; values from VASP
! Final energy   -6.60 eV/atom
! Size of the total moment   0.000 μB per atom
! Energy of formation from the pure elements   23.2 kJ per mole of atoms
&SYSTEM
  ibrav = 0, nat = 6, ntyp = 2
/
ATOMIC_SPECIES
Zn 65.41 Zn.upf
Cr 52.00 Cr.upf
ATOMIC_POSITIONS angstrom
Zn 1.210 -1.668 1.072
Zn 1.210 1.668 3.217
Cr 1.210 -6.438 1.072
Cr 1.210 3.052 1.072
Cr 1.210 -3.052 3.217
Cr 1.210 6.438 3.217
CELL_PARAMETERS angstrom
1.210 -7.118 0.000
1.210 7.118 0.000
0.000 0.000 4.289

=====

(3)
! ZnOs GGA-PBE optimized geometry; values from VASP
! Final energy   -5.98 eV/atom
! Size of the total moment   0.000 μB per atom
! Energy of formation from the pure elements   26.4 kJ per mole of atoms
&SYSTEM
  ibrav = 0, nat = 4, ntyp = 2
/
ATOMIC_SPECIES
Zn 65.41 Zn.upf
Os 190.23 Os.upf
ATOMIC_POSITIONS angstrom
Zn 1.363 0.639 3.012
Zn 0.000 4.565 1.004
Os 1.363 3.199 3.012
Os 0.000 2.005 1.004
CELL_PARAMETERS angstrom
2.726 0.000 0.000
-1.363 5.204 0.000
0.000 0.000 4.016

=====

(4)
! DyY5Cd4 GGA-PBE optimized geometry; values from VASP
! Final energy   -4.32 eV/atom
! Size of the total moment   0.000 μB per atom
! Energy of formation from the pure elements   -25.5 kJ per mole of atoms
&SYSTEM
  ibrav = 0, nat = 10, ntyp = 3
/
ATOMIC_SPECIES
Dy 162.50 Dy.upf
Y 88.91 Y.upf
Cd 112.41 Cd.upf
ATOMIC_POSITIONS angstrom
Dy 0.000 0.000 0.000
Y -9.082 9.853 4.530
Y -5.176 3.627 2.528
Y -3.200 0.479 1.515
Y -7.129 6.740 3.529
Y -11.058 13.002 5.542
Cd -6.158 9.815 3.156
Cd -8.113 12.931 4.158
Cd -4.192 6.681 2.148
Cd -2.237 3.565 1.146
CELL_PARAMETERS angstrom
-3.067 -1.444 -1.493
-0.841 -1.572 3.247
-10.350 16.496 5.304

=====

(5)
! Ta4Ge6Ru7 GGA-PBE optimized geometry; values from VASP
! Final energy   -8.51 eV/atom
! Size of the total moment   0.000 μB per atom
! Energy of formation from the pure elements   -26.4 kJ per mole of atoms
&SYSTEM
  ibrav = 0, nat = 17, ntyp = 3
/
ATOMIC_SPECIES
Ru 101.07 Ru.upf
Ge 72.64 Ge.upf
Ta 180.95 Ta.upf
ATOMIC_POSITIONS angstrom
Ru 4.112 1.424 1.163
Ru 0.000 2.849 3.489
Ru 0.000 0.000 0.000
Ru 0.822 4.273 -1.163
Ru -0.822 4.273 1.163
Ru 2.467 1.424 3.489
Ru 3.290 2.849 -1.163
Ge -2.279 3.947 3.222
Ge 1.011 1.751 -1.430
Ge 4.557 0.000 3.222
Ge -1.011 1.751 1.430
Ge 2.022 0.000 1.430
Ge 2.279 3.947 -3.222
Ta 3.290 0.000 -1.163
Ta 0.000 0.000 3.489
Ta -1.645 2.849 -1.163
Ta 1.645 2.849 1.163
CELL_PARAMETERS angstrom
6.579 0.000 -2.326
-3.290 5.698 -2.326
0.000 0.000 6.978

=====

(6)
! TlRuRh2 GGA-PBE optimized geometry; values from VASP
! Polymorph energy (0 for the lowest one)   0.073 eV per atom
! Final energy   -6.30 eV/atom
! Size of the total moment   0.000 μB per atom
! Energy of formation from the pure elements   27.8 kJ per mole of atoms
&SYSTEM
  ibrav = 0, nat = 4, ntyp = 3
/
ATOMIC_SPECIES
Rh 102.91 Rh.upf
Tl 204.38 Tl.upf
Ru 101.07 Ru.upf
ATOMIC_POSITIONS angstrom
Rh -6.759 -2.707 2.980
Rh -0.683 -2.125 1.713
Tl -1.474 0.536 2.336
Ru -3.380 -1.354 1.490
CELL_PARAMETERS angstrom
-4.171 1.307 2.113
-2.589 -4.014 0.868
4.602 1.118 1.069

=====

(7)
! Be2PH3 GGA-PBE optimized geometry; values from VASP
! Final energy   -3.46 eV/atom
! Size of the total moment   0.000 μB per atom
&SYSTEM
  ibrav = 0, nat = 12, ntyp = 3
/
ATOMIC_SPECIES
Be 9.01 Be.upf
H 1.01 H.upf
P 30.97 P.upf
ATOMIC_POSITIONS angstrom
Be 0.778 0.840 1.645
Be 2.550 0.186 -0.497
Be -1.475 1.867 -1.060
Be 2.251 2.893 0.362
H 3.468 2.893 1.203
H -0.439 0.840 0.804
H -2.116 2.906 -0.133
H 1.119 2.508 1.576
H 0.044 0.456 3.133
H 1.910 1.225 0.431
P 0.359 2.893 -0.944
P 2.670 0.840 2.951
CELL_PARAMETERS angstrom
5.100 0.371 -0.993
-2.950 3.733 -2.121
0.879 -0.371 5.121

=====

(8)
! Zr3Ag GGA-PBE optimized geometry; values from VASP
! Final energy   -7.12 eV/atom
! Size of the total moment   0.000 μB per atom
! Energy of formation from the pure elements   0.0 kJ per mole of atoms
&SYSTEM
  ibrav = 0, nat = 4, ntyp = 2
/
ATOMIC_SPECIES
Ag 107.87 Ag.upf
Zr 91.22 Zr.upf
ATOMIC_POSITIONS angstrom
Ag 0.002 0.009 0.000
Zr -1.668 2.425 1.494
Zr -1.206 -0.503 2.628
Zr 1.502 2.196 1.318
CELL_PARAMETERS angstrom
-4.193 3.921 1.463
-3.850 -1.781 4.136
5.578 1.335 -1.482